CoAsO4 | PBE+U | optimized geometry

CIF file:
```
data_CoAsO4
_chemical_formula_sum 'Co2 As2 O8'
_cell_length_a 4.7856
_cell_length_b 4.3123
_cell_length_c 5.3400
_cell_angle_alpha 90.00
_cell_angle_beta 90.00
_cell_angle_gamma 90.00
_space_group_name_H-M_alt 'P n c 2'
_space_group_IT_number 30
loop_
_space_group_symop_operation_xyz
'x,y,z'
'-x,-y,z'
'-x,y+1/2,z+1/2'
'x,-y+1/2,z+1/2'
loop_
_atom_site_label
_atom_site_type_symbol
_atom_site_fract_x
_atom_site_fract_y
_atom_site_fract_z
Co1 Co 0.0000 0.0000 0.0000
As1 As 0.5000 0.0000 0.2973
O1 O 0.1823 0.2286 0.2539
O2 O 0.3318 0.7407 0.5348
```

Volume ... 110.20 Å³ per cell
Energy ... -71.12 eV/cell
Spin magnetization ... 0.0 μB/f.u.